First-principles (PBE-GGA) data for crystalline Pr2NdNiHg3Au2 at its relaxed geometry, as listed in OQMD.

Results
V = 23.847 Å³/atom
Crystal system = orthorhombic
Calculated total energy = -64.75 eV per cell

abc: 3.9755 13.6676 7.8999
angles: 90.00 90.00 90.00
With the nearest neighbours (Å) after each atom.
Space group Amm2 (No. 38)
One atom of each set of equivalent atoms:
Pr1 0.0000 0.1975 0.0000 (multiplicity 4)  1 Ni 3.12, 4 Au 3.14, 6 Hg 3.37-3.47
Nd1 0.0000 0.0000 0.4085 (multiplicity 2)  1 Ni 3.11, 4 Au 3.13, 6 Hg 3.37-3.47
Ni1 0.0000 0.0000 0.8019 (multiplicity 2)  6 Hg 2.77-2.78
Hg1 0.5000 0.0000 0.0483 (multiplicity 2)  2 Ni 2.78, 2 Au 3.03
Hg2 0.5000 0.1225 0.6796 (multiplicity 4)  2 Ni 2.77, 2 Au 3.03-3.05
Au1 0.5000 0.1658 0.3031 (multiplicity 4)  3 Hg 3.03-3.05, 2 Nd 3.13, 4 Pr 3.14

First-principles (PBE-GGA) data for crystalline PrNd2NiHg3Au2 at its relaxed geometry, as listed in OQMD.

Results
V = 23.798 Å³/atom
Crystal system = orthorhombic
Calculated total energy = -64.76 eV per cell

abc: 3.9744 13.6667 7.8862
angles: 90.00 90.00 90.00
With the nearest neighbours (Å) after each atom.
Space group Amm2 (No. 38)
One atom of each set of equivalent atoms:
Pr1 0.0000 0.0000 0.0000 (multiplicity 2)  1 Ni 3.12, 4 Au 3.14, 6 Hg 3.37-3.47
Nd1 0.0000 0.1968 0.4083 (multiplicity 4)  1 Ni 3.10, 4 Au 3.13, 6 Hg 3.36-3.47
Ni1 0.0000 0.0000 0.6047 (multiplicity 2)  6 Hg 2.77-2.78
Hg1 0.5000 0.0000 0.3606 (multiplicity 2)  2 Ni 2.77, 2 Au 3.05
Hg2 0.5000 0.1228 0.7274 (multiplicity 4)  2 Ni 2.78, 2 Au 3.02-3.05
Au1 0.5000 0.1675 0.1058 (multiplicity 4)  3 Hg 3.02-3.05, 4 Nd 3.13, 2 Pr 3.14

First-principles (PBE-GGA) data for crystalline Nd3Hg3Pd2Au at its relaxed geometry, as listed in OQMD.

Results
V = 23.810 Å³/atom
Crystal system = hexagonal
Calculated total energy = -34.89 eV per cell

abc: 7.9207 7.9207 3.9440
angles: 90.00 90.00 120.00
With the nearest neighbours (Å) after each atom.
Space group P-62m (No. 189)
One atom of each set of equivalent atoms:
Nd1 0.0000 0.4003 0.0000 (multiplicity 3)  4 Pd 3.12, 1 Au 3.17, 6 Hg 3.25-3.43
Hg1 0.0000 0.7270 0.5000 (multiplicity 3)  2 Pd 2.91, 2 Au 2.93, 2 Nd 3.25
Pd1 0.3333 0.6667 0.5000 (multiplicity 2)  3 Hg 2.91, 6 Nd 3.12
Au1 0.0000 0.0000 0.0000 (multiplicity 1)  6 Hg 2.93, 3 Nd 3.17

Number 1: formation energy from the elements -0.563 eV/atom. Number 2: formation energy from the elements -0.565 eV/atom. Number 3: formation energy from the elements -0.677 eV/atom.